No. 1
The following is a GGA-PBE calculation of an optimized crystal structure of VZn2FeSi, from Alexandria.

The space group is P4/mmm (No. 123) and the conventional cell measures 4.451, 4.451 and 4.553 Å, with angles of 90.00, 90.00 and 90.00 degrees. The asymmetric unit holds V at (0.000, 0.000, 0.000), Zn at (0.000, 0.500, 0.500), Fe at (0.500, 0.500, 0.000) and Si at (0.000, 0.000, 0.500).

Its formation energy (no corrections) is 0.9116 eV per atom.

=====

No. 2
The following is a GGA-PBE calculation of an optimized crystal structure of Th2RhAu, from Alexandria.

The space group is P4/mmm (No. 123) and the conventional cell measures 3.602, 3.602 and 7.483 Å, with angles of 90.00, 90.00 and 90.00 degrees. The asymmetric unit holds Th at (0.000, 0.000, 0.232), Rh at (0.500, 0.500, 0.000) and Au at (0.500, 0.500, 0.500).

Its formation energy from the elements is -0.641 eV per atom.

=====

No. 3
The following is a GGA-PBE calculation of an optimized crystal structure of Nb3TeSe, from Alexandria.

The space group is P-1 (No. 2) and the conventional cell measures 5.099, 6.012 and 7.064 Å, with angles of 81.18, 78.88 and 65.34 degrees. The asymmetric unit holds Nb at (0.239, 0.273, 0.009), Nb at (0.258, 0.872, 0.773), Nb at (0.260, 0.435, 0.602), Te at (0.243, 0.680, 0.182) and Se at (0.216, 0.132, 0.395).

Its formation energy (no corrections) is -0.1297 eV per atom. The excess energy over the best structure of this formula in the dataset is 0.0 kJ per mole of atoms.

=====

No. 4
The following is a GGA-PBE calculation of an optimized crystal structure of Sr2CaCl, from Alexandria.

The space group is R-3m (No. 166, hexagonal axes) and the conventional cell measures 4.1040, 4.1040 and 32.8160 Å, with angles of 90.00, 90.00 and 120.00 degrees. The asymmetric unit holds Sr at (0.0000, 0.0000, 0.2338), Ca at (0.0000, 0.0000, 0.0000) and Cl at (0.0000, 0.0000, 0.5000).

Its formation energy (no corrections) is -0.8149 eV per atom. The excess energy over the best structure of this formula in the dataset is 0.0 kJ per mole of atoms.